Entry 1
VASP calculation (PBE) on TaInS2Cl after structural relaxation.

- Spin magnetization: 2.8 μB per cell
- V: 128 Å³ per cell

Cell lengths 5.109, 5.109, 4.912 Å; angles 90.00, 90.00, 90.00 degrees
Element x y z (fractional)
Ta 0.000 0.000 0.000
In 0.500 0.500 0.500
S 0.000 0.500 0.500
S 0.500 0.000 0.500
Cl 0.500 0.500 0.000

Entry 2
VASP calculation (PBE) on TaInS2Cl after structural relaxation.

- Spin magnetization: 0.2 μB per cell
- V: 129 Å³ per cell

Cell lengths 4.994, 4.994, 5.184 Å; angles 90.00, 90.00, 90.00 degrees
Element x y z (fractional)
Ta 0.000 0.000 0.000
In 0.500 0.500 0.500
S 0.000 0.500 0.000
S 0.500 0.000 0.000
Cl 0.000 0.000 0.500

Q: Which of them is the most stable? A: entry 2.

Entry 1
VASP calculation (PBE) on InTcSCl2 after structural relaxation.

- Spin magnetization: 0.7 μB per cell
- V: 114 Å³ per cell

Cell lengths 5.059, 5.059, 4.451 Å; angles 90.00, 90.00, 90.00 degrees
Element x y z (fractional)
In 0.000 0.000 0.000
Tc 0.500 0.500 0.500
S 0.500 0.500 0.000
Cl 0.000 0.500 0.500
Cl 0.500 0.000 0.500

Entry 2
VASP calculation (PBE) on InTcSCl2 after structural relaxation.

- Spin magnetization: 4.8 μB per cell
- V: 133 Å³ per cell

Cell lengths 5.124, 5.124, 5.082 Å; angles 90.00, 90.00, 90.00 degrees
Element x y z (fractional)
In 0.000 0.000 0.000
Tc 0.500 0.500 0.500
S 0.000 0.000 0.500
Cl 0.000 0.500 0.000
Cl 0.500 0.000 0.000

Q: Which of them is the most stable? A: entry 1.

Entry 1
VASP calculation (PBE) on InTcS2Cl after structural relaxation.

- Spin magnetization: 0.0 μB per cell
- V: 111 Å³ per cell

Cell lengths 4.608, 4.608, 5.209 Å; angles 90.00, 90.00, 90.00 degrees
Element x y z (fractional)
In 0.000 0.000 0.000
Tc 0.500 0.500 0.500
S 0.000 0.500 0.500
S 0.500 0.000 0.500
Cl 0.500 0.500 0.000

Entry 2
VASP calculation (PBE) on InTcS2Cl after structural relaxation.

- Spin magnetization: 4.9 μB per cell
- V: 140 Å³ per cell

Cell lengths 5.245, 5.245, 5.094 Å; angles 90.00, 90.00, 90.00 degrees
Element x y z (fractional)
In 0.000 0.000 0.000
Tc 0.500 0.500 0.500
S 0.000 0.500 0.000
S 0.500 0.000 0.000
Cl 0.000 0.000 0.500

Q: Which of them is the most stable? A: entry 1.